The following is a PBE calculation of crystalline Y2ZrAu at its relaxed geometry, from the Alexandria database.

Results
The calculation puts the density of states at the Fermi level at 0.7369 states/eV/atom. The calculated volume comes out at 25.4 Å³ per atom. The magnetization is 0.00 μB/f.u. The calculation puts the formation energy at -0.3678 eV per atom. For the final energy, the calculation gives -6.556 eV per atom. As for the crystal system: tetragonal.

Structure (POSCAR):
```
Y2ZrAu
1.0
-2.5480 -2.3628 0.1226
1.7396 -1.7488 2.4507
-3.8702 4.4820 5.9454
Au Y Zr
1 2 1
Direct
0.5000 0.5000 0.7500
0.0000 0.0000 0.9783
0.0000 0.0000 0.5217
0.5000 0.5000 0.2500
```

---

The following is a PBE calculation of crystalline Y2ZrAu at its relaxed geometry, from the Alexandria database.

Results
The calculation puts the density of states at the Fermi level at 0.9243 states/eV/atom. The calculated volume comes out at 26.1 Å³ per atom. The magnetization is 0.00 μB/f.u. The calculation puts the formation energy at -0.1988 eV per atom. For the final energy, the calculation gives -6.387 eV per atom. As for the crystal system: trigonal.

Structure (POSCAR):
```
Y2ZrAu
1.0
-5.9079 8.2033 -0.6272
-6.0529 7.1063 -3.9312
-8.1980 5.7437 -1.5473
Au Y Zr
1 2 1
Direct
0.7500 0.7500 0.7500
0.0061 0.0061 0.0061
0.4939 0.4939 0.4939
0.2500 0.2500 0.2500
```

---

The following is a PBE calculation of crystalline YZrAu at its relaxed geometry, from the Alexandria database.

Results
The calculation puts the density of states at the Fermi level at 0.9740 states/eV/atom. The calculated volume comes out at 24.0 Å³ per atom. The magnetization is 0.00 μB/f.u. The calculation puts the formation energy at -0.4034 eV per atom. For the final energy, the calculation gives -6.500 eV per atom. As for the crystal system: orthorhombic.

Structure (POSCAR):
```
YZrAu
1.0
-3.2121 -1.0670 4.7047
-3.7173 -2.2458 -3.8370
-1.5593 -5.4877 1.0267
Y Au Zr
2 2 2
Direct
0.4642 0.4822 0.9030
0.1866 0.7045 0.4032
0.9134 0.0936 0.5653
0.9131 0.5930 0.0652
0.8335 0.0504 0.1027
0.4187 0.1358 0.6025
```

---

The following is a PBE calculation of crystalline Y2ZrAu at its relaxed geometry, from the Alexandria database.

Results
The calculation puts the density of states at the Fermi level at 1.0466 states/eV/atom. The calculated volume comes out at 25.7 Å³ per atom. The magnetization is 0.00 μB/f.u. The calculation puts the formation energy at -0.3117 eV per atom. For the final energy, the calculation gives -6.500 eV per atom. As for the crystal system: monoclinic.

Structure (POSCAR):
```
Y2ZrAu
1.0
-5.3312 3.2200 1.3940
-4.2618 1.7063 4.4339
0.8385 4.7007 2.0456
Au Y Zr
1 2 1
Direct
0.2397 0.2397 0.2624
0.9692 0.9692 0.0297
0.7562 0.7562 0.7441
0.5349 0.5349 0.4638
```

---

The following is a PBE calculation of crystalline YZr2Au at its relaxed geometry, from the Alexandria database.

Results
The calculation puts the density of states at the Fermi level at 1.4283 states/eV/atom. The calculated volume comes out at 23.1 Å³ per atom. The magnetization is 0.00 μB/f.u. The calculation puts the formation energy at -0.0842 eV per atom. For the final energy, the calculation gives -6.794 eV per atom. As for the crystal system: orthorhombic.

Structure (POSCAR):
```
YZr2Au
1.0
3.4311 0.0000 0.0000
0.0000 4.3826 0.0000
0.0000 0.0000 6.1568
Au Y Zr
1 1 2
Direct
0.5000 0.5000 0.2500
0.5000 0.5000 0.7500
0.0000 0.0000 0.0112
0.0000 0.0000 0.4888
```

---

The following is a PBE calculation of crystalline Y2ZrAu at its relaxed geometry, from the Alexandria database.

Results
The calculation puts the density of states at the Fermi level at 1.2291 states/eV/atom. The calculated volume comes out at 26.0 Å³ per atom. The magnetization is 0.00 μB/f.u. The calculation puts the formation energy at -0.2898 eV per atom. For the final energy, the calculation gives -6.478 eV per atom. As for the crystal system: tetragonal.

Structure (POSCAR):
```
Y2ZrAu
1.0
-0.5405 2.3208 -2.5103
-3.4186 -0.3490 0.4134
0.0602 6.3702 5.8762
Au Y Zr
1 2 1
Direct
0.5000 0.5000 0.7270
0.0000 0.0000 0.9569
0.5000 0.5000 0.2804
0.0000 0.0000 0.5357
```